(1)
Material: ZrSbW2
Method: DFT, GGA-PBE
State: relaxed

Energy ... -36.091 eV/f.u.
Magnetic moment ... 0.000 Bohr magnetons per cell
SG ... R-3m, No. 166

Cell lengths 3.205, 3.205, 26.202 Å; angles 90.00, 90.00, 120.00 degrees
Sites, in units of the cell vectors:
Zr 0.000 0.000 0.000
Zr 0.333 0.667 0.667
Zr 0.667 0.333 0.333
Sb 0.000 0.000 0.500
Sb 0.333 0.667 0.167
Sb 0.667 0.333 0.833
W 0.000 0.000 0.248
W 0.000 0.000 0.752
W 0.333 0.667 0.419
W 0.333 0.667 0.915
W 0.667 0.333 0.085
W 0.667 0.333 0.581

(2)
Material: ZrSbW2
Method: DFT, GGA-PBE
State: relaxed

Energy ... -37.413 eV/f.u.
Magnetic moment ... 0.000 Bohr magnetons per cell
SG ... P2/m, No. 10

Cell lengths 2.945, 4.970, 5.219 Å; angles 90.00, 90.56, 90.00 degrees
Sites, in units of the cell vectors:
Zr 0.000 0.000 0.000
Sb 0.500 0.000 0.500
W 0.357 0.500 0.761
W 0.643 0.500 0.239

(3)
Material: ZrSb2W
Method: DFT, GGA-PBE
State: relaxed

Energy relative to the lowest polymorph listed for this composition ... 126.6 meV per atom
Energy ... -29.494 eV/f.u.
Magnetic moment ... 0.000 Bohr magnetons per cell
SG ... P4/mmm, No. 123

Cell lengths 3.382, 3.382, 7.146 Å; angles 90.00, 90.00, 90.00 degrees
Sites, in units of the cell vectors:
Zr 0.000 0.000 0.000
Sb 0.500 0.500 0.273
Sb 0.500 0.500 0.727
W 0.000 0.000 0.500

(4)
Material: Zr2Sb2W
Method: DFT, GGA-PBE
State: relaxed

Energy ... -38.867 eV/f.u.
Magnetic moment ... 0.000 Bohr magnetons per cell
SG ... P4/mbm, No. 127

Cell lengths 7.257, 7.257, 4.055 Å; angles 90.00, 90.00, 90.00 degrees
Sites, in units of the cell vectors:
Zr 0.157 0.343 0.000
Zr 0.343 0.843 0.000
Zr 0.657 0.157 0.000
Zr 0.843 0.657 0.000
Sb 0.148 0.648 0.500
Sb 0.352 0.148 0.500
Sb 0.648 0.852 0.500
Sb 0.852 0.352 0.500
W 0.000 0.000 0.500
W 0.500 0.500 0.500

(5)
Material: ZrSb2W
Method: DFT, GGA-PBE
State: relaxed

Energy relative to the lowest polymorph listed for this composition ... 241.8 meV per atom
Energy ... -29.034 eV/f.u.
Magnetic moment ... 0.000 Bohr magnetons per cell
SG ... Imm2, No. 44

Cell lengths 3.616, 4.870, 9.562 Å; angles 90.00, 90.00, 90.00 degrees
Sites, in units of the cell vectors:
Zr 0.000 0.000 0.000
Zr 0.500 0.500 0.500
Sb 0.000 0.000 0.531
Sb 0.000 0.500 0.751
Sb 0.500 0.000 0.251
Sb 0.500 0.500 0.031
W 0.000 0.500 0.253
W 0.500 0.000 0.753

(6)
Material: Y2Sb
Method: DFT, GGA-PBE
State: relaxed

Energy ... -19.412 eV/f.u.
Magnetic moment ... 0.009 Bohr magnetons per cell
SG ... Pnma, No. 62

Cell lengths 8.126, 4.361, 9.694 Å; angles 90.00, 90.00, 90.00 degrees
Sites, in units of the cell vectors:
Y 0.042 0.250 0.166
Y 0.132 0.250 0.566
Y 0.368 0.750 0.066
Y 0.458 0.750 0.666
Y 0.542 0.250 0.334
Y 0.632 0.250 0.934
Y 0.868 0.750 0.434
Y 0.958 0.750 0.834
Sb 0.245 0.250 0.865
Sb 0.255 0.750 0.365
Sb 0.745 0.250 0.635
Sb 0.755 0.750 0.135

(7)
Material: Y2Sb
Method: DFT, GGA-PBE
State: relaxed

Energy ... -18.350 eV/f.u.
Magnetic moment ... 0.000 Bohr magnetons per cell
SG ... I4_1/amd, No. 141

Cell lengths 3.812, 3.812, 26.378 Å; angles 90.00, 90.00, 90.00 degrees
Sites, in units of the cell vectors:
Y 0.000 0.250 0.310
Y 0.000 0.250 0.440
Y 0.000 0.750 0.560
Y 0.000 0.750 0.690
Y 0.500 0.250 0.060
Y 0.500 0.250 0.190
Y 0.500 0.750 0.810
Y 0.500 0.750 0.940
Sb 0.000 0.250 0.875
Sb 0.000 0.750 0.125
Sb 0.500 0.250 0.625
Sb 0.500 0.750 0.375

(8)
Material: YSb3
Method: DFT, GGA-PBE
State: relaxed

Energy relative to the lowest polymorph listed for this composition ... 0.0 meV per atom
Energy ... -20.835 eV/f.u.
Magnetic moment ... 0.000 Bohr magnetons per cell
SG ... Pmm2, No. 25

Cell lengths 4.377, 6.198, 4.523 Å; angles 90.00, 90.00, 90.00 degrees
Sites, in units of the cell vectors:
Y 0.000 0.000 0.000
Sb 0.000 0.500 0.889
Sb 0.500 0.000 0.488
Sb 0.500 0.500 0.322

(9)
Material: Y2Sb
Method: DFT, GGA-PBE
State: relaxed

Energy ... -19.171 eV/f.u.
Magnetic moment ... 1.488 Bohr magnetons per cell
SG ... Cmcm, No. 63

Cell lengths 4.278, 16.027, 4.858 Å; angles 90.00, 90.00, 90.00 degrees
Sites, in units of the cell vectors:
Y 0.000 0.074 0.250
Y 0.000 0.251 0.750
Y 0.000 0.749 0.250
Y 0.000 0.926 0.750
Y 0.500 0.249 0.250
Y 0.500 0.426 0.750
Y 0.500 0.574 0.250
Y 0.500 0.751 0.750
Sb 0.000 0.401 0.250
Sb 0.000 0.599 0.750
Sb 0.500 0.099 0.750
Sb 0.500 0.901 0.250

(10)
Material: Y2Sb
Method: DFT, GGA-PBE
State: relaxed

Energy ... -18.639 eV/f.u.
Magnetic moment ... 0.550 Bohr magnetons per cell
SG ... Cmcm, No. 63

Cell lengths 4.318, 14.688, 6.077 Å; angles 90.00, 90.00, 90.00 degrees
Sites, in units of the cell vectors:
Y 0.000 0.070 0.250
Y 0.000 0.360 0.250
Y 0.000 0.640 0.750
Y 0.000 0.930 0.750
Y 0.500 0.140 0.750
Y 0.500 0.430 0.750
Y 0.500 0.570 0.250
Y 0.500 0.860 0.250
Sb 0.000 0.287 0.750
Sb 0.000 0.713 0.250
Sb 0.500 0.213 0.250
Sb 0.500 0.787 0.750

(11)
Material: YSb3
Method: DFT, GGA-PBE
State: relaxed

Energy relative to the lowest polymorph listed for this composition ... 311.5 meV per atom
Energy ... -19.589 eV/f.u.
Magnetic moment ... 0.000 Bohr magnetons per cell
SG ... Fm-3m, No. 225

Cell lengths 7.643, 7.643, 7.643 Å; angles 90.00, 90.00, 90.00 degrees
Sites, in units of the cell vectors:
Y 0.000 0.000 0.000
Y 0.000 0.500 0.500
Y 0.500 0.000 0.500
Y 0.500 0.500 0.000
Sb 0.000 0.000 0.500
Sb 0.000 0.500 0.000
Sb 0.250 0.250 0.250
Sb 0.250 0.250 0.750
Sb 0.250 0.750 0.250
Sb 0.250 0.750 0.750
Sb 0.500 0.000 0.000
Sb 0.500 0.500 0.500
Sb 0.750 0.250 0.250
Sb 0.750 0.250 0.750
Sb 0.750 0.750 0.250
Sb 0.750 0.750 0.750

(12)
Material: YSb3
Method: DFT, GGA-PBE
State: relaxed

Energy relative to the lowest polymorph listed for this composition ... 126.6 meV per atom
Energy ... -20.329 eV/f.u.
Magnetic moment ... 0.000 Bohr magnetons per cell
SG ... Pm-3m, No. 221

Cell lengths 4.777, 4.777, 4.777 Å; angles 90.00, 90.00, 90.00 degrees
Sites, in units of the cell vectors:
Y 0.000 0.000 0.000
Sb 0.000 0.500 0.500
Sb 0.500 0.000 0.500
Sb 0.500 0.500 0.000

Number 1: formation energy from raw total energies 622 meV per atom. Number 2: formation energy from raw total energies 291 meV per atom. Number 3: formation energy from raw total energies 63 meV per atom. Number 4: formation energy from raw total energies -114 meV per atom. Number 5: formation energy from raw total energies 178 meV per atom. Number 6: formation energy from raw total energies -787 meV per atom. Number 7: formation energy from raw total energies -433 meV per atom. Number 8: formation energy from raw total energies -501 meV per atom. Number 9: formation energy from raw total energies -707 meV per atom. Number 10: formation energy from raw total energies -530 meV per atom. Number 11: formation energy from raw total energies -189 meV per atom. Number 12: formation energy from raw total energies -374 meV per atom.